! Zn2GaS4 PBE-GGA relaxed; values from VASP
! E_form (uncorrected) (eV per atom): -0.5433
! SG: No. 111
! Size of the total moment (μB/f.u.): 0.0
&SYSTEM
  ibrav = 0, nat = 7, ntyp = 3
/
ATOMIC_SPECIES
Zn 65.41 Zn.upf
S 32.06 S.upf
Ga 69.72 Ga.upf
CELL_PARAMETERS angstrom
5.407 0.000 0.000
0.000 5.407 0.000
0.000 0.000 5.113
ATOMIC_POSITIONS crystal
Zn 0.000 0.500 0.500
Zn 0.500 0.000 0.500
S 0.744 0.744 0.236
S 0.744 0.256 0.764
S 0.256 0.744 0.764
S 0.256 0.256 0.236
Ga 0.000 0.000 0.000